[1]
## Tb2CeSmTm4 (PBE-GGA)

Data for a relaxed Tb2CeSmTm4 crystal.

abc: 5.0069 5.0230 9.8660
angles: 90.00 90.00 90.00
With the nearest neighbours (Å) after each atom.
Positions (direct):
Tb: 0.0000 0.0000 0.0000  8 Tm 3.53-3.54, 4 Sm 3.55
Tb: 0.5000 0.5000 0.5000  8 Tm 3.50, 4 Ce 3.55
Ce: 0.0000 0.0000 0.5000  8 Tm 3.50, 4 Tb 3.55
Sm: 0.5000 0.5000 0.0000  8 Tm 3.53-3.54, 4 Tb 3.55
Tm: 0.0000 0.5000 0.2527  4 Tb 3.50-3.54, 2 Ce 3.50, 2 Sm 3.53, 4 Tm 3.55
Tm: 0.0000 0.5000 0.7473  4 Tb 3.50-3.54, 2 Ce 3.50, 2 Sm 3.53, 4 Tm 3.55
Tm: 0.5000 0.0000 0.2526  2 Ce 3.50, 4 Tb 3.50-3.53, 2 Sm 3.54, 4 Tm 3.55
Tm: 0.5000 0.0000 0.7474  2 Ce 3.50, 4 Tb 3.50-3.53, 2 Sm 3.54, 4 Tm 3.55

Output
- E: -4.679 eV/atom
- N(E_F): 12.7 states/eV/cell


[2]
## CeCuAgSe3 (PBE-GGA)

Data for a relaxed CeCuAgSe3 crystal.

abc: 8.3803 3.9984 8.8102
angles: 90.00 102.31 90.00
With the nearest neighbours (Å) after each atom.
Positions (direct):
Ce: 0.2215 0.2500 0.1711  7 Se 2.89-3.09
Ce: 0.7785 0.7500 0.8289  7 Se 2.89-3.09
Cu: 0.4231 0.7500 0.9194  4 Se 2.40-2.61, 2 Cu 2.63
Cu: 0.5769 0.2500 0.0806  4 Se 2.40-2.61, 2 Cu 2.63
Ag: 0.1984 0.2500 0.5830  4 Se 2.67-2.80
Ag: 0.8016 0.7500 0.4170  4 Se 2.67-2.80
Se: 0.1229 0.7500 0.3719  3 Ag 2.71-2.80, 2 Ce 2.90
Se: 0.1395 0.7500 0.9298  1 Cu 2.40
Se: 0.4907 0.2500 0.7779  3 Cu 2.48-2.61, 1 Ag 2.67
Se: 0.5093 0.7500 0.2221  3 Cu 2.48-2.61, 1 Ag 2.67
Se: 0.8605 0.2500 0.0702  1 Cu 2.40
Se: 0.8771 0.2500 0.6281  3 Ag 2.71-2.80, 2 Ce 2.90

Output
- E: -4.734 eV/atom
- N(E_F): 1.4 states/eV/cell


[3]
## Li2PPd8 (PBE-GGA)

Data for a relaxed Li2PPd8 crystal.

abc: 6.3119 6.3119 4.7970
angles: 103.17 103.17 82.96
With the nearest neighbours (Å) after each atom.
Positions (direct):
Li: 0.1480 0.1480 0.0250  1 P 2.48, 5 Pd 2.48-2.73, 1 Li 2.74
Li: 0.8520 0.8520 0.9750  1 P 2.48, 5 Pd 2.48-2.73, 1 Li 2.74
P: 0.0000 0.0000 0.5000  6 Pd 2.34-2.36, 2 Li 2.48
Pd: 0.1510 0.6984 0.7043  1 P 2.34, 1 Li 2.51
Pd: 0.2616 0.2616 0.6199  1 P 2.36, 1 Li 2.49
Pd: 0.3016 0.8490 0.2957  1 P 2.34, 1 Li 2.51
Pd: 0.4237 0.4237 0.2035  1 Li 2.48, 5 Pd 2.67-2.77
Pd: 0.5763 0.5763 0.7965  1 Li 2.48, 5 Pd 2.67-2.77
Pd: 0.6984 0.1510 0.7043  1 P 2.34, 1 Li 2.51
Pd: 0.7384 0.7384 0.3801  1 P 2.36, 1 Li 2.49
Pd: 0.8490 0.3016 0.2957  1 P 2.34, 1 Li 2.51

Output
- E: -4.740 eV/atom
- N(E_F): 6.4 states/eV/cell


[4]
## TbHoPd2 (PBE-GGA)

Data for a relaxed TbHoPd2 crystal.

abc: 5.0121 5.0121 3.4325
angles: 90.00 90.00 90.00
With the nearest neighbours (Å) after each atom.
Positions (direct):
Tb: 0.0000 0.0000 0.0000  8 Pd 3.04
Ho: 0.5000 0.5000 0.0000  8 Pd 3.04
Pd: 0.0000 0.5000 0.5000  4 Tb 3.04, 4 Ho 3.04
Pd: 0.5000 0.0000 0.5000  4 Tb 3.04, 4 Ho 3.04

Output
- Relative energy among the computed polymorphs: 31 meV per atom
- E: -5.786 eV/atom
- N(E_F): 1.8 states/eV/cell


[5]
## TlIn2Co (PBE-GGA)

Data for a relaxed TlIn2Co crystal.

abc: 4.9552 4.9552 6.8417
angles: 110.27 110.27 36.46
With the nearest neighbours (Å) after each atom.
Positions (direct):
Tl: 0.0000 0.0000 0.0000  2 Co 2.77, 1 In 3.09
In: 0.1707 0.1707 0.6902  2 Co 2.65
In: 0.3466 0.3466 0.3560  3 Co 2.57-2.64
Co: 0.6198 0.6198 0.3578  5 In 2.57-2.65, 2 Tl 2.77

Output
- Relative energy among the computed polymorphs: 50 meV per atom
- E: -3.534 eV/atom
- N(E_F): 3.0 states/eV/cell


[6]
## Pm6Hg5Ir (PBE-GGA)

Data for a relaxed Pm6Hg5Ir crystal.

abc: 9.1831 9.1831 5.2940
angles: 106.69 106.69 48.89
With the nearest neighbours (Å) after each atom.
Positions (direct):
Pm: 0.0781 0.6121 0.3448  1 Ir 3.03, 7 Hg 3.19-3.34
Pm: 0.2258 0.7742 0.0000  2 Ir 3.15, 6 Hg 3.36-3.42, 1 Pm 3.43
Pm: 0.3879 0.9219 0.6552  1 Ir 3.03, 7 Hg 3.19-3.34
Pm: 0.6121 0.0781 0.3448  1 Ir 3.03, 7 Hg 3.19-3.34
Pm: 0.7742 0.2258 0.0000  2 Ir 3.15, 6 Hg 3.36-3.42, 1 Pm 3.43
Pm: 0.9219 0.3879 0.6552  1 Ir 3.03, 7 Hg 3.19-3.34
Hg: 0.1863 0.1863 0.1865  8 Pm 3.22-3.42, 2 Hg 3.53
Hg: 0.3335 0.3335 0.8332  8 Pm 3.34-3.36, 3 Hg 3.53-3.74
Hg: 0.5000 0.5000 0.5000  8 Pm 3.19-3.37
Hg: 0.6665 0.6665 0.1668  8 Pm 3.34-3.36, 3 Hg 3.53-3.74
Hg: 0.8137 0.8137 0.8135  8 Pm 3.22-3.42, 2 Hg 3.53
Ir: 0.0000 0.0000 0.5000  8 Pm 3.03-3.15

Output
- E: -3.762 eV/atom
- N(E_F): 10.2 states/eV/cell


[7]
## MnCr2NiH (PBE-GGA)

Data for a relaxed MnCr2NiH crystal.

abc: 3.6176 3.6176 3.6386
angles: 90.00 90.00 90.00
With the nearest neighbours (Å) after each atom.
Positions (direct):
Mn: 0.0000 0.0000 0.0000  2 H 1.82
Cr: 0.0000 0.5000 0.5000  2 H 1.81
Cr: 0.5000 0.0000 0.5000  2 H 1.81
Ni: 0.5000 0.5000 0.0000  4 Mn 2.56, 8 Cr 2.57
H: 0.0000 0.0000 0.5000  4 Cr 1.81, 2 Mn 1.82

Output
- Relative energy among the computed polymorphs: 0 meV per atom
- E: -7.473 eV/atom
- N(E_F): 3.5 states/eV/cell


[8]
## SbPd2I (PBE-GGA)

Data for a relaxed SbPd2I crystal.

abc: 4.9217 4.9217 4.9217
angles: 60.00 60.00 60.00
With the nearest neighbours (Å) after each atom.
Positions (direct):
Sb: 0.0000 0.0000 0.0000  8 Pd 3.01
Pd: 0.2500 0.2500 0.2500  4 Sb 3.01, 4 I 3.01
Pd: 0.7500 0.7500 0.7500  4 Sb 3.01, 4 I 3.01
I: 0.5000 0.5000 0.5000  8 Pd 3.01

Output
- Relative energy among the computed polymorphs: 293 meV per atom
- E: -3.924 eV/atom
- N(E_F): 2.6 states/eV/cell